[1]
SrLa2Fe, optimized geometry, DFT PBE; E above lowest polymorph = 0 meV/atom; E_tot = -58.29 eV for the cell shown; calculated volume = 428.76 Å³ per cell; space group = R-3m; formation energy = 0.143 eV/atom
1.0
4.0950 0.0000 0.0000
-2.0475 3.5463 0.0000
0.0000 0.0000 29.5242
Sr La Fe
3 6 3
Cartesian
0.0000 0.0000 0.0000
0.0000 2.3642 19.6828
2.0475 1.1821 9.8414
0.0000 0.0000 6.3612
0.0000 0.0000 23.1631
0.0000 2.3642 13.3217
0.0000 2.3642 26.0440
2.0475 1.1821 3.4803
2.0475 1.1821 16.2026
0.0000 0.0000 14.7621
0.0000 2.3642 4.9207
2.0475 1.1821 24.6035

[2]
Sr2LaFe, optimized geometry, DFT PBE; E above lowest polymorph = 311 meV/atom; E_tot = -43.13 eV for the cell shown; calculated volume = 440.36 Å³ per cell; space group = R-3m; formation energy = 0.595 eV/atom
1.0
3.8757 0.0000 0.0000
-1.9378 3.3564 0.0000
0.0000 0.0000 33.8522
Sr La Fe
6 3 3
Cartesian
0.0000 0.0000 7.8421
0.0000 0.0000 26.0101
0.0000 2.2376 14.7260
0.0000 2.2376 30.4103
1.9378 1.1188 3.4419
1.9378 1.1188 19.1262
0.0000 0.0000 0.0000
0.0000 2.2376 22.5681
1.9378 1.1188 11.2841
0.0000 0.0000 16.9261
0.0000 2.2376 5.6420
1.9378 1.1188 28.2101

[3]
Sr2LaFe, optimized geometry, DFT PBE; E above lowest polymorph = 346 meV/atom; E_tot = -28.47 eV for the cell shown; calculated volume = 268.06 Å³ per cell; space group = I-4m2; formation energy = 0.630 eV/atom
1.0
5.6571 0.0000 0.0000
0.0000 5.6571 0.0000
0.0000 0.0000 8.3762
Sr La Fe
4 2 2
Cartesian
0.0000 0.0000 0.0000
0.0000 2.8285 2.0941
2.8285 0.0000 6.2822
2.8285 2.8285 4.1881
0.0000 0.0000 4.1881
2.8285 2.8285 0.0000
0.0000 2.8285 6.2822
2.8285 0.0000 2.0941

[4]
SrLa2Fe, optimized geometry, DFT PBE; E above lowest polymorph = 34 meV/atom; E_tot = -19.29 eV for the cell shown; calculated volume = 133.71 Å³ per cell; space group = P4/mmm; formation energy = 0.176 eV/atom
1.0
3.6324 0.0000 0.0000
0.0000 3.6324 0.0000
0.0000 0.0000 10.1337
Sr La Fe
1 2 1
Cartesian
0.0000 0.0000 0.0000
1.8162 1.8162 3.4109
1.8162 1.8162 6.7228
0.0000 0.0000 5.0669

[5]
SrLa2Fe, optimized geometry, DFT PBE; E above lowest polymorph = 408 meV/atom; E_tot = -35.60 eV for the cell shown; calculated volume = 249.80 Å³ per cell; space group = I-4m2; formation energy = 0.550 eV/atom
1.0
4.8196 0.0000 0.0000
0.0000 4.8196 0.0000
0.0000 0.0000 10.7543
Sr La Fe
2 4 2
Cartesian
0.0000 0.0000 0.0000
2.4098 2.4098 5.3772
0.0000 0.0000 5.3772
0.0000 2.4098 2.6886
2.4098 0.0000 8.0658
2.4098 2.4098 0.0000
0.0000 2.4098 8.0658
2.4098 0.0000 2.6886

[6]
Sr2LaFe, optimized geometry, DFT PBE; E above lowest polymorph = 348 meV/atom; E_tot = -28.46 eV for the cell shown; calculated volume = 274.16 Å³ per cell; space group = I4/mmm; formation energy = 0.631 eV/atom
1.0
4.8623 0.0000 0.0000
0.0000 4.8623 0.0000
0.0000 0.0000 11.5965
Sr La Fe
4 2 2
Cartesian
0.0000 2.4311 2.8991
0.0000 2.4311 8.6974
2.4311 0.0000 2.8991
2.4311 0.0000 8.6974
0.0000 0.0000 0.0000
2.4311 2.4311 5.7982
0.0000 0.0000 5.7982
2.4311 2.4311 0.0000

[7]
Sr2LaFe, optimized geometry, DFT PBE; E above lowest polymorph = 0 meV/atom; E_tot = -15.62 eV for the cell shown; calculated volume = 143.39 Å³ per cell; space group = P4mm; formation energy = 0.283 eV/atom
1.0
3.7926 0.0000 0.0000
0.0000 3.7926 0.0000
0.0000 0.0000 9.9687
Sr La Fe
2 1 1
Cartesian
0.0000 0.0000 0.0000
1.8963 1.8963 3.4067
1.8963 1.8963 6.8579
0.0000 0.0000 5.4842

[8]
SrLa2Fe, optimized geometry, DFT PBE; E above lowest polymorph = 464 meV/atom; E_tot = -35.15 eV for the cell shown; calculated volume = 254.89 Å³ per cell; space group = C2/m; formation energy = 0.607 eV/atom
1.0
6.7067 0.0000 0.0000
0.0000 11.8375 0.0000
-1.6530 0.0000 3.2106
Sr La Fe
2 4 2
Cartesian
0.0000 0.0000 0.0000
3.3534 5.9188 0.0000
0.8502 2.9594 1.6053
0.8502 8.8781 1.6053
4.2036 2.9594 1.6053
4.2036 8.8781 1.6053
0.0000 5.9188 0.0000
3.3534 0.0000 0.0000

[9]
Sr2LaFe, optimized geometry, DFT PBE; E above lowest polymorph = 41 meV/atom; E_tot = -30.91 eV for the cell shown; calculated volume = 278.64 Å³ per cell; space group = Cm; formation energy = 0.324 eV/atom
1.0
13.4238 0.0000 0.0000
0.0000 3.7634 0.0000
-2.8759 0.0000 5.5155
Sr La Fe
4 2 2
Cartesian
0.0000 0.0000 0.0000
0.4437 0.0000 3.7411
6.7119 1.8817 0.0000
7.1556 1.8817 3.7411
3.6612 0.0000 1.9110
10.3731 1.8817 1.9110
2.2888 1.8817 1.1836
9.0008 0.0000 1.1836

[10]
Sr2LaFe, optimized geometry, DFT PBE; E above lowest polymorph = 428 meV/atom; E_tot = -27.82 eV for the cell shown; calculated volume = 284.24 Å³ per cell; space group = C2/m; formation energy = 0.712 eV/atom
1.0
7.0074 0.0000 0.0000
0.0000 12.0482 0.0000
-1.6226 0.0000 3.3667
Sr La Fe
4 2 2
Cartesian
1.7518 3.0121 0.0000
1.7518 9.0362 0.0000
5.2555 3.0121 0.0000
5.2555 9.0362 0.0000
-0.8113 0.0000 1.6834
2.6924 6.0241 1.6834
-0.8113 6.0241 1.6834
2.6924 0.0000 1.6834

[11]
Sr2LaFe, optimized geometry, DFT PBE; E above lowest polymorph = 93 meV/atom; E_tot = -30.49 eV for the cell shown; calculated volume = 323.99 Å³ per cell; space group = Cmmm; formation energy = 0.377 eV/atom
1.0
5.0203 0.0000 0.0000
0.0000 16.0834 0.0000
0.0000 0.0000 4.0126
Sr La Fe
4 2 2
Cartesian
0.0000 2.3580 0.0000
0.0000 13.7254 0.0000
2.5102 5.6837 0.0000
2.5102 10.3997 0.0000
0.0000 8.0417 2.0063
2.5102 0.0000 2.0063
0.0000 0.0000 2.0063
2.5102 8.0417 2.0063

[12]
Sr2LaFe, optimized geometry, DFT PBE; E above lowest polymorph = 620 meV/atom; E_tot = -52.56 eV for the cell shown; calculated volume = 494.07 Å³ per cell; space group = Fm-3m; formation energy = 0.903 eV/atom
1.0
7.9055 0.0000 0.0000
0.0000 7.9055 0.0000
0.0000 0.0000 7.9055
Sr La Fe
8 4 4
Cartesian
1.9764 1.9764 1.9764
1.9764 1.9764 5.9291
1.9764 5.9291 1.9764
1.9764 5.9291 5.9291
5.9291 1.9764 1.9764
5.9291 1.9764 5.9291
5.9291 5.9291 1.9764
5.9291 5.9291 5.9291
0.0000 0.0000 0.0000
0.0000 3.9527 3.9527
3.9527 0.0000 3.9527
3.9527 3.9527 0.0000
0.0000 0.0000 3.9527
0.0000 3.9527 0.0000
3.9527 0.0000 0.0000
3.9527 3.9527 3.9527

> Among the records above, which one has the lowest calculated volume?

number 4

> What is the E above lowest polymorph in the twelfth record?

620 meV/atom

> Which of these has the lowest calculated volume?

number 4